Record 1
Computed, not measured: a relaxed TlCd2In crystal at the GGA-PBE level of DFT.

```
4
Lattice="2.062 -2.594 0.000 2.062 2.594 0.000 0.000 0.000 9.938" Properties=species:S:1:pos:R:3 pbc="T T T"
Tl 0.000 0.000 0.000
Cd 2.062 0.000 2.578
Cd 2.062 0.000 7.359
In 0.000 0.000 4.969
```

Properties
Distance to the lowest polymorph of the same formula: 30 meV per atom
Fermi-level density of states: 1.81 states/eV/cell
Volume: 26.58 Å³/atom
Space-group type: Cmmm (65)
DFT formation energy: 5.1 kJ per mole of atoms

***

Record 2
Computed, not measured: a relaxed Tl5CdIn4 crystal at the GGA-PBE level of DFT.

```
10
Lattice="3.526 0.000 0.000 0.000 3.526 0.000 0.000 0.000 22.943" Properties=species:S:1:pos:R:3 pbc="T T T"
Tl 0.000 0.000 0.000
Tl 0.000 0.000 4.646
Tl 0.000 0.000 9.285
Tl 0.000 0.000 13.658
Tl 0.000 0.000 18.297
Cd 1.763 1.763 11.471
In 1.763 1.763 2.313
In 1.763 1.763 6.965
In 1.763 1.763 15.978
In 1.763 1.763 20.630
```

Properties
Fermi-level density of states: 3.07 states/eV/cell
Volume: 28.53 Å³/atom
Space-group type: P4/mmm (123)
DFT formation energy: 2.5 kJ per mole of atoms

***

Record 3
Computed, not measured: a relaxed Tl2CdIn crystal at the GGA-PBE level of DFT.

```
4
Lattice="3.377 0.000 0.000 0.000 5.783 0.000 -0.458 0.000 5.818" Properties=species:S:1:pos:R:3 pbc="T T T"
Tl 0.692 0.000 1.459
Tl 2.227 0.000 4.359
Cd -0.229 2.892 2.909
In 1.689 2.892 0.000
```

Properties
Distance to the lowest polymorph of the same formula: 30 meV per atom
Fermi-level density of states: 1.49 states/eV/cell
Volume: 28.41 Å³/atom
Space-group type: P2/m (10)
DFT formation energy: 4.8 kJ per mole of atoms

***

Record 4
Computed, not measured: a relaxed Tl2Cd2In crystal at the GGA-PBE level of DFT.

```
5
Lattice="-2.082 2.082 8.431 2.082 -2.082 8.431 2.082 2.082 -8.431" Properties=species:S:1:pos:R:3 pbc="T T T"
Tl 0.000 0.000 1.697
Tl 0.000 0.000 15.164
Cd 2.082 0.000 4.215
Cd 0.000 2.082 4.215
In 0.000 0.000 8.431
```

Properties
Distance to the lowest polymorph of the same formula: 73 meV per atom
Fermi-level density of states: 2.45 states/eV/cell
Volume: 29.22 Å³/atom
Space-group type: I4/mmm (139)
DFT formation energy: 10.7 kJ per mole of atoms

***

Record 5
Computed, not measured: a relaxed Tm4TlCdIn2 crystal at the GGA-PBE level of DFT.

```
8
Lattice="2.630 1.519 8.580 -2.630 1.519 8.580 0.000 -3.037 8.580" Properties=species:S:1:pos:R:3 pbc="T T T"
Tm 0.000 0.000 3.219
Tm 0.000 0.000 9.657
Tm 0.000 0.000 16.084
Tm 0.000 0.000 22.522
Tl 0.000 0.000 0.000
Cd 0.000 0.000 12.870
In 0.000 0.000 6.372
In 0.000 0.000 19.369
```

Properties
Fermi-level density of states: 6.08 states/eV/cell
Volume: 25.71 Å³/atom
Space-group type: R-3m (166)
DFT formation energy: -35.4 kJ per mole of atoms

***

Record 6
Computed, not measured: a relaxed Tm2TlCdIn crystal at the GGA-PBE level of DFT.

```
10
Lattice="7.187 0.000 0.000 0.000 4.724 0.000 -1.955 0.000 7.609" Properties=species:S:1:pos:R:3 pbc="T T T"
Tm -0.570 1.181 2.511
Tm 2.803 1.181 1.005
Tm 2.429 3.543 6.604
Tm 5.802 3.543 5.098
Tl 0.881 3.543 0.573
Tl 4.351 1.181 7.037
Cd 1.590 3.543 3.508
Cd 3.643 1.181 4.101
In 0.708 1.181 5.362
In 4.524 3.543 2.247
```

Properties
Fermi-level density of states: 3.40 states/eV/cell
Volume: 25.84 Å³/atom
Space-group type: P2_1/m (11)
DFT formation energy: -27.1 kJ per mole of atoms

***

Record 7
Computed, not measured: a relaxed TmTlCdIn crystal at the GGA-PBE level of DFT.

```
4
Lattice="0.000 3.709 3.709 3.709 0.000 3.709 3.709 3.709 0.000" Properties=species:S:1:pos:R:3 pbc="T T T"
Tm 0.000 0.000 0.000
Tl 5.564 5.564 5.564
Cd 3.709 3.709 3.709
In 1.855 1.855 1.855
```

Properties
Distance to the lowest polymorph of the same formula: 147 meV per atom
Fermi-level density of states: 2.55 states/eV/cell
Volume: 25.51 Å³/atom
Space-group type: F-43m (216)
DFT formation energy: -10.6 kJ per mole of atoms

***

Record 8
Computed, not measured: a relaxed Tm4TlCd2In crystal at the GGA-PBE level of DFT.

```
8
Lattice="2.624 1.515 8.580 -2.624 1.515 8.580 0.000 -3.030 8.580" Properties=species:S:1:pos:R:3 pbc="T T T"
Tm 0.000 0.000 3.210
Tm 0.000 0.000 9.647
Tm 0.000 0.000 16.093
Tm 0.000 0.000 22.530
Tl 0.000 0.000 12.870
Cd 0.000 0.000 6.465
Cd 0.000 0.000 19.275
In 0.000 0.000 0.000
```

Properties
Fermi-level density of states: 7.63 states/eV/cell
Volume: 25.58 Å³/atom
Space-group type: R-3m (166)
DFT formation energy: -33.0 kJ per mole of atoms

***

Record 9
Computed, not measured: a relaxed TmTlCdIn crystal at the GGA-PBE level of DFT.

```
4
Lattice="4.536 0.000 0.000 0.000 4.632 0.000 0.000 0.000 4.671" Properties=species:S:1:pos:R:3 pbc="T T T"
Tm 0.000 0.000 0.000
Tl 2.268 2.316 0.000
Cd 0.000 2.316 2.336
In 2.268 0.000 2.336
```

Properties
Distance to the lowest polymorph of the same formula: 0 meV per atom
Fermi-level density of states: 2.26 states/eV/cell
Volume: 24.54 Å³/atom
Space-group type: Pmmm (47)
DFT formation energy: -24.8 kJ per mole of atoms

***

Record 10
Computed, not measured: a relaxed TlCd2InW crystal at the GGA-PBE level of DFT.

```
5
Lattice="5.409 0.000 0.000 0.000 5.409 0.000 0.000 0.000 5.359" Properties=species:S:1:pos:R:3 pbc="T T T"
Tl 0.000 0.000 0.000
Cd 0.000 2.705 2.679
Cd 2.705 0.000 2.679
In 2.705 2.705 0.000
W 0.000 0.000 2.679
```

Properties
Fermi-level density of states: 4.01 states/eV/cell
Volume: 31.36 Å³/atom
Space-group type: P4/mmm (123)
DFT formation energy: 93.7 kJ per mole of atoms

***

Record 11
Computed, not measured: a relaxed TlZnCdIn2 crystal at the GGA-PBE level of DFT.

```
5
Lattice="5.270 0.000 0.000 0.000 5.270 0.000 0.000 0.000 5.241" Properties=species:S:1:pos:R:3 pbc="T T T"
Tl 0.000 0.000 0.000
Zn 2.635 2.635 2.621
Cd 2.635 2.635 0.000
In 0.000 2.635 2.621
In 2.635 0.000 2.621
```

Properties
Fermi-level density of states: 2.41 states/eV/cell
Volume: 29.11 Å³/atom
Space-group type: P4/mmm (123)
DFT formation energy: 18.5 kJ per mole of atoms

***

Record 12
Computed, not measured: a relaxed Zr5TlCdIn2 crystal at the GGA-PBE level of DFT.

```
18
Lattice="-3.792 3.792 7.509 3.792 -3.792 7.509 3.792 3.792 -7.509" Properties=species:S:1:pos:R:3 pbc="T T T"
Zr 0.000 0.000 0.000
Zr 5.340 1.549 -2.028
Zr 1.549 2.243 -2.028
Zr 5.340 1.549 2.028
Zr 1.549 2.243 2.028
Zr 0.000 0.000 7.509
Zr 2.243 1.549 5.481
Zr -1.549 2.243 5.481
Zr 2.243 1.549 9.537
Zr -1.549 2.243 9.537
Tl 3.792 0.000 3.755
Tl 0.000 3.792 3.755
Cd 0.000 0.000 3.755
Cd 0.000 0.000 11.264
In 2.874 0.917 0.000
In 2.874 -0.917 7.509
In 0.917 4.709 0.000
In 0.917 2.874 7.509
```

Properties
Fermi-level density of states: 21.51 states/eV/cell
Volume: 23.99 Å³/atom
Space-group type: I4/mcm (140)
DFT formation energy: 7.6 kJ per mole of atoms

***

Record 13
Computed, not measured: a relaxed Tm5Cd4In crystal at the GGA-PBE level of DFT.

```
10
Lattice="3.704 0.000 0.000 0.000 3.704 0.000 0.000 0.000 18.459" Properties=species:S:1:pos:R:3 pbc="T T T"
Tm 0.000 0.000 0.000
Tm 0.000 0.000 3.689
Tm 0.000 0.000 7.347
Tm 0.000 0.000 11.112
Tm 0.000 0.000 14.770
Cd 1.852 1.852 1.852
Cd 1.852 1.852 5.503
Cd 1.852 1.852 12.956
Cd 1.852 1.852 16.607
In 1.852 1.852 9.229
```

Properties
Fermi-level density of states: 7.55 states/eV/cell
Volume: 25.32 Å³/atom
Space-group type: P4/mmm (123)
DFT formation energy: -32.7 kJ per mole of atoms

***

Record 14
Computed, not measured: a relaxed Tm4CdIn2 crystal at the GGA-PBE level of DFT.

```
14
Lattice="7.307 0.000 0.000 0.000 6.535 0.000 -3.603 0.000 8.185" Properties=species:S:1:pos:R:3 pbc="T T T"
Tm -0.578 1.634 1.865
Tm -1.152 4.902 3.484
Tm 0.157 3.320 6.330
Tm 0.157 6.483 6.330
Tm 3.547 0.053 1.855
Tm 3.547 3.215 1.855
Tm 4.856 1.634 4.701
Tm 4.282 4.902 6.320
Cd 1.111 4.902 1.123
Cd 2.593 1.634 7.061
In -1.940 1.634 7.866
In 1.654 1.634 4.073
In 2.050 4.902 4.112
In 5.644 4.902 0.319
```

Properties
Distance to the lowest polymorph of the same formula: 79 meV per atom
Fermi-level density of states: 12.97 states/eV/cell
Volume: 27.92 Å³/atom
Space-group type: P2_1/m (11)
DFT formation energy: -17.1 kJ per mole of atoms

***

Record 15
Computed, not measured: a relaxed TmCd3In crystal at the GGA-PBE level of DFT.

```
10
Lattice="2.721 -12.477 0.000 2.721 12.477 0.000 0.000 0.000 5.050" Properties=species:S:1:pos:R:3 pbc="T T T"
Tm 2.721 9.617 3.788
Tm 2.721 -9.617 1.263
Cd 0.000 0.000 0.000
Cd 0.000 0.000 2.525
Cd 1.374 5.538 1.263
Cd 1.374 -5.538 3.788
Cd 4.068 5.538 1.263
Cd 4.068 -5.538 3.788
In 2.721 3.362 3.788
In 2.721 -3.362 1.263
```

Properties
Distance to the lowest polymorph of the same formula: 515 meV per atom
Fermi-level density of states: 7.48 states/eV/cell
Volume: 34.29 Å³/atom
Space-group type: Cmcm (63)
DFT formation energy: 36.9 kJ per mole of atoms

***

Record 16
Computed, not measured: a relaxed Tm2CdIn crystal at the GGA-PBE level of DFT.

```
4
Lattice="3.715 0.000 0.000 0.000 3.715 0.000 0.000 0.000 7.370" Properties=species:S:1:pos:R:3 pbc="T T T"
Tm 0.000 0.000 1.820
Tm 0.000 0.000 5.550
Cd 1.858 1.858 0.000
In 1.858 1.858 3.685
```

Properties
Distance to the lowest polymorph of the same formula: 0 meV per atom
Fermi-level density of states: 2.95 states/eV/cell
Volume: 25.43 Å³/atom
Space-group type: P4/mmm (123)
DFT formation energy: -36.7 kJ per mole of atoms

***

Record 17
Computed, not measured: a relaxed Tm2Cd6In crystal at the GGA-PBE level of DFT.

```
9
Lattice="4.374 2.525 3.246 -4.374 2.525 3.246 0.000 -5.051 3.246" Properties=species:S:1:pos:R:3 pbc="T T T"
Tm 0.000 0.000 1.671
Tm 0.000 0.000 8.066
Cd -1.452 -2.536 3.246
Cd -2.922 0.011 3.246
Cd 1.452 -2.536 3.246
Cd -1.470 2.525 3.246
Cd 2.922 0.011 3.246
Cd 1.470 2.525 3.246
In 0.000 0.000 4.868
```

Properties
Fermi-level density of states: 5.01 states/eV/cell
Volume: 23.90 Å³/atom
Space-group type: R-3m (166)
DFT formation energy: -19.1 kJ per mole of atoms

***

Record 18
Computed, not measured: a relaxed TmCdIn crystal at the GGA-PBE level of DFT.

```
6
Lattice="5.522 -2.453 0.000 5.522 2.453 0.000 -4.369 0.000 5.401" Properties=species:S:1:pos:R:3 pbc="T T T"
Tm -1.083 0.000 1.346
Tm 7.758 0.000 4.054
Cd 0.052 0.000 4.521
Cd 6.623 0.000 0.879
In 2.216 0.000 1.789
In 4.459 0.000 3.612
```

Properties
Fermi-level density of states: 4.17 states/eV/cell
Volume: 24.38 Å³/atom
Space-group type: C2/m (12)
DFT formation energy: -33.3 kJ per mole of atoms

***

Record 19
Computed, not measured: a relaxed TmCdIn2 crystal at the GGA-PBE level of DFT.

```
4
Lattice="2.398 1.385 5.095 -2.398 1.385 5.095 0.000 -2.769 5.095" Properties=species:S:1:pos:R:3 pbc="T T T"
Tm 0.000 0.000 0.000
Cd 0.000 0.000 7.642
In 0.000 0.000 3.600
In 0.000 0.000 11.685
```

Properties
Distance to the lowest polymorph of the same formula: 186 meV per atom
Fermi-level density of states: 1.81 states/eV/cell
Volume: 25.38 Å³/atom
Space-group type: R-3m (166)
DFT formation energy: -15.1 kJ per mole of atoms

***

Record 20
Computed, not measured: a relaxed Tm4Cd2In crystal at the GGA-PBE level of DFT.

```
7
Lattice="2.583 1.491 8.345 -2.583 1.491 8.345 0.000 -2.983 8.345" Properties=species:S:1:pos:R:3 pbc="T T T"
Tm 0.000 0.000 2.928
Tm 0.000 0.000 9.279
Tm 0.000 0.000 15.755
Tm 0.000 0.000 22.106
Cd 0.000 0.000 6.195
Cd 0.000 0.000 18.839
In 0.000 0.000 12.517
```

Properties
Distance to the lowest polymorph of the same formula: 0 meV per atom
Fermi-level density of states: 6.70 states/eV/cell
Volume: 27.56 Å³/atom
Space-group type: R-3m (166)
DFT formation energy: -16.2 kJ per mole of atoms

***

Record 21
Computed, not measured: a relaxed TmCd11In crystal at the GGA-PBE level of DFT.

```
13
Lattice="2.998 -7.085 0.000 2.998 7.085 0.000 -2.951 0.000 7.073" Properties=species:S:1:pos:R:3 pbc="T T T"
Tm 0.000 0.000 0.000
Cd -1.475 0.000 3.537
Cd 1.499 3.543 0.000
Cd 0.047 4.577 4.599
Cd -0.018 1.493 5.602
Cd 2.999 4.577 2.474
Cd -0.018 -1.493 5.602
Cd 1.499 -3.543 0.000
Cd 3.065 1.493 1.471
Cd 0.047 -4.577 4.599
Cd 3.065 -1.493 1.471
Cd 2.999 -4.577 2.474
In 1.523 0.000 3.537
```

Properties
Fermi-level density of states: 3.33 states/eV/cell
Volume: 23.12 Å³/atom
Space-group type: C2/m (12)
DFT formation energy: -1.9 kJ per mole of atoms

***

Record 22
Computed, not measured: a relaxed Tm2CdIn crystal at the GGA-PBE level of DFT.

```
4
Lattice="1.799 1.039 9.737 -1.799 1.039 9.737 0.000 -2.077 9.737" Properties=species:S:1:pos:R:3 pbc="T T T"
Tm 0.000 0.000 7.311
Tm 0.000 0.000 21.898
Cd 0.000 0.000 14.605
In 0.000 0.000 0.000
```

Properties
Distance to the lowest polymorph of the same formula: 146 meV per atom
Fermi-level density of states: 3.28 states/eV/cell
Volume: 27.29 Å³/atom
Space-group type: R-3m (166)
DFT formation energy: -22.7 kJ per mole of atoms

***

Record 23
Computed, not measured: a relaxed TmCdIn2 crystal at the GGA-PBE level of DFT.

```
4
Lattice="4.589 0.000 0.000 0.000 4.589 0.000 0.000 0.000 4.520" Properties=species:S:1:pos:R:3 pbc="T T T"
Tm 0.000 0.000 0.000
Cd 2.294 2.294 0.000
In 0.000 2.294 2.260
In 2.294 0.000 2.260
```

Properties
Distance to the lowest polymorph of the same formula: 0 meV per atom
Fermi-level density of states: 1.82 states/eV/cell
Volume: 23.79 Å³/atom
Space-group type: P4/mmm (123)
DFT formation energy: -33.0 kJ per mole of atoms

***

Record 24
Computed, not measured: a relaxed Tm6CdIn3 crystal at the GGA-PBE level of DFT.

```
20
Lattice="9.176 0.000 0.000 0.000 5.291 0.000 -3.639 0.000 10.948" Properties=species:S:1:pos:R:3 pbc="T T T"
Tm -1.135 1.323 4.545
Tm 0.857 3.968 1.918
Tm 2.315 1.323 0.041
Tm 0.218 3.968 8.782
Tm 2.123 1.323 3.601
Tm 1.459 1.323 6.817
Tm 4.078 3.968 4.131
Tm 3.414 3.968 7.347
Tm 5.319 1.323 2.165
Tm 3.222 3.968 10.906
Tm 4.680 1.323 9.030
Tm 6.672 3.968 6.403
Cd 3.840 3.968 1.079
Cd 1.697 1.323 9.868
In -2.928 3.968 9.645
In -1.465 1.323 7.835
In 0.835 3.968 5.173
In 4.702 1.323 5.775
In 7.002 3.968 3.113
In 8.465 1.323 1.303
```

Properties
Fermi-level density of states: 20.52 states/eV/cell
Volume: 26.58 Å³/atom
Space-group type: P2_1/m (11)
DFT formation energy: -30.3 kJ per mole of atoms